A plane-wave DFT calculation with PBE with a Hubbard U was carried out for a relaxed structure of LaNbCo2O6.

* energy: -7.660 eV/atom
* magnetization: 0.594 μB per atom
* calculated volume: 125.0 Å³/f.u.
* Fermi-level density of states: 0.000 states/eV/f.u.

abc: 5.4695 5.4552 5.7954
angles: 61.73 61.62 59.70
With the nearest neighbours (Å) after each atom.
Fractional coordinates of all 10 atoms:
La: 0.7923 0.7927 0.6193  3 O 2.30-2.32
Nb: 0.3148 0.3126 0.0594  6 O 1.97-2.11
Co: 0.5228 0.5213 0.4365  6 O 2.12-2.17
Co: 0.0155 0.0136 0.9536  6 O 2.03-2.24
O: 0.5898 0.2502 0.2269  1 Nb 1.97, 1 Co 2.13
O: 0.2521 0.9313 0.2251  1 Nb 1.97, 1 Co 2.12
O: 0.9316 0.5927 0.2278  1 Nb 1.98, 1 Co 2.12
O: 0.3583 0.7163 0.7553  2 Co 2.03-2.16, 1 Nb 2.11
O: 0.7163 0.1700 0.7540  2 Co 2.05-2.16, 1 Nb 2.11
O: 0.1681 0.3609 0.7572  2 Co 2.06-2.17, 1 Nb 2.11, 1 La 2.30